SbPt3I (PBE, relaxed); space group = No. 221; DOS(E_F) = 1.4835 states/eV per atom; calculated volume = 25.6 A^3/atom; uncorrected formation energy = 82 kJ/mol of atoms; crystal system = cubic
1.0
-0.278 4.888 1.199
-1.850 -1.216 4.529
4.681 -0.191 1.861
Sb I Pt
1 1 3
Direct
0.000 0.000 0.000 Sb
0.500 0.500 0.500 I
0.500 0.000 0.000 Pt
0.000 0.500 0.000 Pt
0.000 0.000 0.500 Pt